Here is a relaxed structure of U2HSe from Alexandria. Energies are from PBE.

a = 3.6572 Å, b = 3.6572 Å, c = 19.5613 Å
α = 90.00°, β = 90.00°, γ = 120.00°
Closest atoms and distances in Å follow each position.
Space group R-3m (No. 166, hexagonal axes)
One atom of each set of equivalent atoms:
U1 0.0000 0.0000 0.2315 (multiplicity 6)  3 H 2.46
H1 0.0000 0.0000 0.5000 (multiplicity 3)  6 U 2.46
Se1 0.0000 0.0000 0.0000 (multiplicity 3)  6 U 2.90

Properties
DFT total energy ... -92.3 eV per cell
DOS(E_F) ... 26.25 states/eV/cell
ρ ... 12.2 Mg/m³
Volume ... 227 Å³ per cell
Crystal system ... trigonal



Here is a relaxed structure of CuTcMo2 from Alexandria. Energies are from PBE.

a = 6.1857 Å, b = 6.1857 Å, c = 6.1857 Å
α = 90.00°, β = 90.00°, γ = 90.00°
Closest atoms and distances in Å follow each position.
Space group Fm-3m (No. 225)
One atom of each set of equivalent atoms:
Cu1 0.0000 0.0000 0.0000 (multiplicity 4)  8 Mo 2.68
Tc1 0.0000 0.0000 0.5000 (multiplicity 4)  8 Mo 2.68
Mo1 0.2500 0.2500 0.2500 (multiplicity 8)  4 Tc 2.68, 4 Cu 2.68

Properties
DFT total energy ... -139.5 eV per cell
ΔE to the lowest computed polymorph ... 170 meV/atom
Energy of formation from the pure elements ... 0.315 eV per atom
DOS(E_F) ... 21.41 states/eV/cell
ρ ... 9.9 Mg/m³
Volume ... 237 Å³ per cell
Crystal system ... cubic



Here is a relaxed structure of KPuBi2 from Alexandria. Energies are from PBE.

a = 4.8383 Å, b = 4.8383 Å, c = 23.5987 Å
α = 90.00°, β = 90.00°, γ = 120.00°
Closest atoms and distances in Å follow each position.
Space group R-3m (No. 166, hexagonal axes)
One atom of each set of equivalent atoms:
K1 0.0000 0.0000 0.0000 (multiplicity 3)  6 Bi 3.71
Pu1 0.0000 0.0000 0.5000 (multiplicity 3)  6 Bi 3.16
Bi1 0.0000 0.0000 0.2296 (multiplicity 6)  3 Pu 3.16

Properties
DFT total energy ... -71.5 eV per cell
ΔE to the lowest computed polymorph ... 213 meV/atom
Energy of formation from the pure elements ... -0.160 eV per atom
DOS(E_F) ... 49.25 states/eV/cell
ρ ... 7.3 Mg/m³
Volume ... 478 Å³ per cell
Crystal system ... trigonal



Here is a relaxed structure of Ni2AgMo from Alexandria. Energies are from PBE.

a = 2.6708 Å, b = 2.6708 Å, c = 7.7146 Å
α = 90.00°, β = 90.00°, γ = 90.00°
Closest atoms and distances in Å follow each position.
Space group P4mm (No. 99)
One atom of each set of equivalent atoms:
Ni1 0.0000 0.0000 0.0000 (multiplicity 1)  8 Ni 2.48-2.67, 4 Mo 2.62
Ni2 0.5000 0.5000 0.2087 (multiplicity 1)  8 Ni 2.48-2.67, 4 Ag 2.74
Ag1 0.0000 0.0000 0.4662 (multiplicity 1)  4 Ag 2.67, 4 Ni 2.74, 4 Mo 2.98
Mo1 0.5000 0.5000 0.7645 (multiplicity 1)  4 Ni 2.62, 4 Mo 2.67

Properties
DFT total energy ... -24.4 eV per cell
ΔE to the lowest computed polymorph ... 123 meV/atom
Energy of formation from the pure elements ... 0.220 eV per atom
DOS(E_F) ... 5.87 states/eV/cell
ρ ... 9.7 Mg/m³
Volume ... 55 Å³ per cell
Crystal system ... tetragonal



Here is a relaxed structure of SiW2 from Alexandria. Energies are from PBE.

a = 4.3818 Å, b = 4.3818 Å, c = 2.7318 Å
α = 90.00°, β = 90.00°, γ = 120.00°
Closest atoms and distances in Å follow each position.
Space group P-3m1 (No. 164)
One atom of each set of equivalent atoms:
Si1 0.0000 0.0000 0.0000 (multiplicity 1)  6 W 2.67, 2 Si 2.73
W1 0.3333 0.6667 0.3167 (multiplicity 2)  3 Si 2.67, 5 W 2.72-2.73

Properties
Raw formation energy ... 0.19 eV per atom
DFT total energy ... -30.8 eV per cell
ΔE to the lowest computed polymorph ... 338 meV/atom
DOS(E_F) ... 2.74 states/eV/cell
ρ ... 14.5 Mg/m³
Volume ... 45 Å³ per cell
Crystal system ... trigonal



Here is a relaxed structure of Tc2AgMo from Alexandria. Energies are from PBE.

a = 3.0592 Å, b = 4.4208 Å, c = 9.3580 Å
α = 90.00°, β = 90.00°, γ = 90.00°
Closest atoms and distances in Å follow each position.
Space group Cmm2 (No. 35)
One atom of each set of equivalent atoms:
Tc1 0.0000 0.0000 0.0000 (multiplicity 2)  6 Tc 2.65-2.69, 2 Mo 2.69
Tc2 0.0000 0.5000 0.2311 (multiplicity 2)  6 Tc 2.65-2.69, 2 Ag 2.92
Ag1 0.0000 0.0000 0.4966 (multiplicity 2)  4 Ag 2.69, 2 Tc 2.92, 2 Mo 2.93
Mo1 0.0000 0.5000 0.7638 (multiplicity 2)  2 Tc 2.69, 4 Mo 2.69, 2 Ag 2.93

Properties
DFT total energy ... -65.9 eV per cell
ΔE to the lowest computed polymorph ... 100 meV/atom
Energy of formation from the pure elements ... 0.371 eV per atom
DOS(E_F) ... 9.30 states/eV/cell
ρ ... 10.5 Mg/m³
Volume ... 127 Å³ per cell
Crystal system ... orthorhombic